Entry 1:
Computed, not measured: NaHgPt2 after structural relaxation at the PBE level of DFT.

Calculated formation energy = 0.2019 eV per atom

Structure (POSCAR):
```
NaHgPt2
1.0
-3.8844 3.8844 2.7084
3.8844 -3.8844 2.7084
3.8844 3.8844 -2.7084
Na Hg Pt
2 2 4
Cartesian
0.0000 0.0000 0.0000
0.0000 3.8844 1.3542
3.8844 0.0000 1.3542
0.0000 0.0000 2.7084
1.9422 -1.7474 2.0313
2.1371 1.9422 0.6771
1.9422 5.6318 -0.6771
1.7474 1.9422 3.3855
```

Entry 2:
Computed, not measured: Na2HgPt after structural relaxation at the PBE level of DFT.

Calculated formation energy = 0.0044 eV per atom

Structure (POSCAR):
```
Na2HgPt
1.0
-2.0377 2.0377 10.5405
2.0377 -2.0377 10.5405
2.0377 2.0377 -10.5405
Na Hg Pt
4 2 2
Cartesian
3.0566 0.9673 -2.6351
0.9673 1.0189 2.6351
-1.0189 1.0704 7.9054
1.0704 1.0189 13.1756
2.0377 0.0000 5.2702
0.0000 0.0000 10.5405
0.0000 0.0000 0.0000
0.0000 2.0377 5.2702
```

Entry 3:
Computed, not measured: Na2HgPt2 after structural relaxation at the PBE level of DFT.

Calculated formation energy = -0.1671 eV per atom
Energy above the most stable polymorph in this dataset = 0 meV per atom

Structure (POSCAR):
```
Na2HgPt2
1.0
6.8965 0.0000 0.0000
0.0000 6.8965 0.0000
0.0000 0.0000 4.5372
Na Hg Pt
4 2 4
Cartesian
1.1536 2.2946 0.0000
2.2946 5.7428 0.0000
4.6019 1.1536 0.0000
5.7428 4.6019 0.0000
0.0000 0.0000 2.2686
3.4482 3.4482 2.2686
0.9075 4.3557 2.2686
2.5407 0.9075 2.2686
4.3557 5.9889 2.2686
5.9889 2.5407 2.2686
```

Entry 4:
Computed, not measured: Na2HgPt after structural relaxation at the PBE level of DFT.

Calculated formation energy = -0.2122 eV per atom

Structure (POSCAR):
```
Na2HgPt
1.0
4.4734 -3.6442 0.0000
4.4734 3.6442 0.0000
0.0000 0.0000 5.5399
Na Hg Pt
4 2 2
Cartesian
1.6646 1.2927 1.3850
1.6646 -1.2927 4.1549
7.2822 1.2927 1.3850
7.2822 -1.2927 4.1549
4.4734 2.4142 1.3850
4.4734 -2.4142 4.1549
4.4734 0.0000 0.0000
4.4734 0.0000 2.7700
```

Entry 5:
Computed, not measured: NaHg2Pt after structural relaxation at the PBE level of DFT.

Calculated formation energy = 0.0394 eV per atom

Structure (POSCAR):
```
NaHg2Pt
1.0
-2.2421 2.2421 9.5556
2.2421 -2.2421 9.5556
2.2421 2.2421 -9.5556
Na Hg Pt
2 4 2
Cartesian
0.0000 0.0000 0.0000
0.0000 2.2421 4.7778
1.1210 -0.9575 7.1667
1.2846 1.1210 2.3889
1.1210 3.1995 -2.3889
0.9575 1.1210 11.9446
2.2421 0.0000 4.7778
0.0000 0.0000 9.5556
```

Entry 6:
Computed, not measured: NaPuHgPt after structural relaxation at the PBE level of DFT.

Calculated formation energy = -0.2379 eV per atom

Structure (POSCAR):
```
NaPuHgPt
1.0
0.0000 3.5765 3.5765
3.5765 0.0000 3.5765
3.5765 3.5765 0.0000
Na Pu Hg Pt
1 1 1 1
Cartesian
0.0000 0.0000 0.0000
3.5765 3.5765 3.5765
5.3648 5.3648 5.3648
1.7883 1.7883 1.7883
```

Entry 7:
Computed, not measured: RbNaHg2Pt after structural relaxation at the PBE level of DFT.

Calculated formation energy = -0.2398 eV per atom
Energy above the most stable polymorph in this dataset = 0 meV per atom

Structure (POSCAR):
```
RbNaHg2Pt
1.0
5.4205 0.0000 0.0000
0.0000 5.4205 0.0000
0.0000 0.0000 5.4217
Rb Na Hg Pt
1 1 2 1
Cartesian
0.0000 0.0000 0.0000
2.7102 2.7102 0.0000
0.0000 2.7102 2.7108
2.7102 0.0000 2.7108
2.7102 2.7102 2.7108
```

Entry 8:
Computed, not measured: RbNa2HgPt after structural relaxation at the PBE level of DFT.

Calculated formation energy = -0.1321 eV per atom

Structure (POSCAR):
```
RbNa2HgPt
1.0
5.5274 0.0000 0.0000
0.0000 5.5274 0.0000
0.0000 0.0000 5.4429
Rb Na Hg Pt
1 2 1 1
Cartesian
0.0000 0.0000 0.0000
0.0000 2.7637 2.7214
2.7637 0.0000 2.7214
2.7637 2.7637 0.0000
2.7637 2.7637 2.7214
```

Across the entries above, E takes the values -3.22, -2.24, -3.17, -2.46, -1.95, -5.74, -2.03, -2.12 eV/atom, respectively.